Density functional theory data (PBE+U) for a relaxed structure of BaFeF4.

The structure in extended XYZ format:
```
12
Lattice="4.847 0.000 0.000 -2.424 6.164 -1.225 0.000 -0.305 6.721" Properties=species:S:1:pos:R:3 pbc="T T T"
Fe -1.212 2.930 2.748
F -0.258 3.535 0.750
F -1.501 5.010 2.784
F 2.681 2.324 4.746
F 0.258 3.382 4.111
F 2.166 2.477 1.386
F 1.501 5.162 -0.577
F 0.922 0.697 6.073
Ba 3.488 -0.229 5.041
F 3.925 0.849 2.712
Fe 1.212 3.082 -0.613
Ba 1.359 -0.076 1.680
```

**Total moment**: 4.000 μB/f.u.
**DFT total energy**: -5.5993 eV per atom